{"formula": "Y2PaSnO8", "functional": "PBE", "state": "relaxed", "lattice": [[3.766, 0.000, 0.000], [0.000, 7.572, 0.000], [-0.014, 0.000, 5.383]], "species": ["Y", "Y", "Pa", "Sn", "O", "O", "O", "O", "O", "O", "O", "O"], "frac_coords": [[0.000, 0.246, 0.000], [0.000, 0.754, 0.000], [0.500, 0.500, 0.500], [0.500, 0.000, 0.500], [0.001, 0.500, 0.258], [0.002, 0.000, 0.269], [0.499, 0.246, 0.737], [0.499, 0.754, 0.737], [0.501, 0.246, 0.263], [0.501, 0.754, 0.263], [0.998, 0.000, 0.731], [0.999, 0.500, 0.742]], "mass_density_g_cm3": 7.1, "e_form_raw_ev_per_atom": -2.844, "space_group": "No. 10", "total_energy_ev_per_atom": -8.35}

---

{"formula": "PaZn2SnO8", "functional": "PBE", "state": "relaxed", "lattice": [[-3.342, 3.342, 3.554], [3.342, -3.342, 3.554], [3.342, 3.342, -3.554]], "species": ["Pa", "Zn", "Zn", "Sn", "O", "O", "O", "O", "O", "O", "O", "O"], "frac_coords": [[0.000, 0.000, 0.000], [0.250, 0.750, 0.500], [0.500, 0.500, 0.000], [0.750, 0.250, 0.500], [0.048, 0.358, 0.310], [0.048, 0.738, 0.690], [0.102, 0.296, 0.806], [0.262, 0.952, 0.310], [0.491, 0.296, 0.194], [0.642, 0.952, 0.690], [0.704, 0.509, 0.806], [0.704, 0.898, 0.194]], "mass_density_g_cm3": 6.4, "e_form_raw_ev_per_atom": -1.559, "space_group": "No. 119", "total_energy_ev_per_atom": -6.20}